No. 1
Computed, not measured: a crystal of HfZrN2 relaxed with PBEsol at the SCAN level of DFT.

Structure (extended XYZ):
```
4
Lattice="-2.1913 -2.1774 -0.7968 0.1649 -2.9465 1.2118 -3.6468 -0.2040 4.1998" Properties=species:S:1:pos:R:3 pbc="T T T"
N -1.4514 -1.3152 1.1990
N -4.2217 -4.0127 3.4158
Zr 0.0000 0.0000 0.0000
Hf -2.8366 -2.6639 2.3074
```

## Properties
Energy relative to the elements, uncorrected   -1.979 eV/atom
Uncorrected energy   -119.872 eV for the cell shown

=====

No. 2
Computed, not measured: a crystal of Hf3ZrN relaxed with PBEsol at the SCAN level of DFT.

Structure (extended XYZ):
```
5
Lattice="-1.9962 1.2255 -3.7957 -3.6039 -2.3728 1.1293 -1.7090 3.5724 2.0521" Properties=species:S:1:pos:R:3 pbc="T T T"
N 0.0000 0.0000 0.0000
Hf -0.9981 0.6127 -1.8978
Hf -1.8020 -1.1864 0.5646
Hf -0.8545 1.7862 1.0261
Zr -3.6545 1.2125 -0.3072
```

## Properties
Energy relative to the elements, uncorrected   -0.813 eV/atom
Uncorrected energy   -232.073 eV for the cell shown

=====

No. 3
Computed, not measured: a crystal of NaHf2Nb relaxed with PBEsol at the SCAN level of DFT.

Structure (extended XYZ):
```
4
Lattice="-1.8383 3.8411 -2.2921 -3.8002 2.3384 1.8648 0.5619 4.4263 1.8652" Properties=species:S:1:pos:R:3 pbc="T T T"
Nb -2.5383 5.3029 0.7189
Na 0.0000 0.0000 0.0000
Hf -1.2691 2.6515 0.3595
Hf -3.8074 7.9544 1.0784
```

## Properties
Formation enthalpy at 0 K   0.560 eV per atom
Uncorrected energy   -160.451 eV for the cell shown